Run P
# KAlRh3 PBE relaxed
# calculated density: 6.15 Mg/m³
# Fermi-level density of states: 5.047 states/eV per cell
# total moment: 1.419 μB/cell
data_KAlRh3
_chemical_formula_sum 'K1 Al1 Rh3'
_space_group_name_H-M_alt 'P m -3 m'
_space_group_IT_number 221
_space_group_name_Hall '-P 4 2 3'
_cell_length_a 4.6594
_cell_length_b 4.6594
_cell_length_c 4.6594
_cell_angle_alpha 90.00
_cell_angle_beta 90.00
_cell_angle_gamma 90.00
loop_
_atom_site_label
_atom_site_type_symbol
_atom_site_fract_x
_atom_site_fract_y
_atom_site_fract_z
_atom_site_occupancy
K1 K 0.0000 0.0000 0.0000 1
Al1 Al 0.5000 0.5000 0.5000 1
Rh1 Rh 0.0000 0.5000 0.5000 1

***

Run Q
# KAlRh3 PBE relaxed
# calculated density: 6.00 Mg/m³
# Fermi-level density of states: 6.719 states/eV per cell
# total moment: 2.136 μB/cell
data_KAlRh3
_chemical_formula_sum 'K1 Al1 Rh3'
_space_group_name_H-M_alt 'P m -3 m'
_space_group_IT_number 221
_space_group_name_Hall '-P 4 2 3'
_cell_length_a 4.6973
_cell_length_b 4.6973
_cell_length_c 4.6973
_cell_angle_alpha 90.00
_cell_angle_beta 90.00
_cell_angle_gamma 90.00
loop_
_atom_site_label
_atom_site_type_symbol
_atom_site_fract_x
_atom_site_fract_y
_atom_site_fract_z
_atom_site_occupancy
K1 K 0.0000 0.0000 0.0000 1
Al1 Al 0.5000 0.5000 0.5000 1
Rh1 Rh 0.0000 0.0000 0.5000 1

***

Most stable: run P (next structure +1.512 eV/atom)

***

Run P
# KAl3Rh PBE relaxed
# calculated density: 3.28 Mg/m³
# Fermi-level density of states: 2.834 states/eV per cell
# total moment: 0.744 μB/cell
data_KAl3Rh
_chemical_formula_sum 'K1 Al3 Rh1'
_space_group_name_H-M_alt 'P m -3 m'
_space_group_IT_number 221
_space_group_name_Hall '-P 4 2 3'
_cell_length_a 4.8316
_cell_length_b 4.8316
_cell_length_c 4.8316
_cell_angle_alpha 90.00
_cell_angle_beta 90.00
_cell_angle_gamma 90.00
loop_
_atom_site_label
_atom_site_type_symbol
_atom_site_fract_x
_atom_site_fract_y
_atom_site_fract_z
_atom_site_occupancy
K1 K 0.0000 0.0000 0.0000 1
Al1 Al 0.0000 0.5000 0.5000 1
Rh1 Rh 0.5000 0.5000 0.5000 1

***

Run Q
# KAl3Rh PBE relaxed
# calculated density: 2.55 Mg/m³
# Fermi-level density of states: 7.188 states/eV per cell
# total moment: 0.000 μB/cell
data_KAl3Rh
_chemical_formula_sum 'K1 Al3 Rh1'
_space_group_name_H-M_alt 'P m -3 m'
_space_group_IT_number 221
_space_group_name_Hall '-P 4 2 3'
_cell_length_a 5.2544
_cell_length_b 5.2544
_cell_length_c 5.2544
_cell_angle_alpha 90.00
_cell_angle_beta 90.00
_cell_angle_gamma 90.00
loop_
_atom_site_label
_atom_site_type_symbol
_atom_site_fract_x
_atom_site_fract_y
_atom_site_fract_z
_atom_site_occupancy
K1 K 0.0000 0.0000 0.0000 1
Al1 Al 0.0000 0.0000 0.5000 1
Rh1 Rh 0.5000 0.5000 0.5000 1

***

Most stable: run P (next structure +2.270 eV/atom)

***

Run P
# KAl2Ru PBE relaxed
# calculated density: 2.44 Mg/m³
# Fermi-level density of states: 6.388 states/eV per cell
# total moment: 0.000 μB/cell
data_KAl2Ru
_chemical_formula_sum 'K4 Al8 Ru4'
_space_group_name_H-M_alt 'I 41/a m d'
_space_group_IT_number 141
_cell_length_a 6.1321
_cell_length_b 6.1321
_cell_length_c 14.0650
_cell_angle_alpha 90.00
_cell_angle_beta 90.00
_cell_angle_gamma 90.00
loop_
_space_group_symop_operation_xyz
'x,y,z'
'-x,-y,-z'
'-y+1/4,x+3/4,z+1/4'
'y+1/4,-x+3/4,-z+1/4'
'-x+1/2,-y,z+1/2'
'x+1/2,y,-z+1/2'
'y+1/4,-x+1/4,z+3/4'
'-y+1/4,x+1/4,-z+3/4'
'x,-y,-z'
'-x,y,z'
'-y+1/4,-x+1/4,-z+3/4'
'y+1/4,x+1/4,z+3/4'
'-x+1/2,y,-z+1/2'
'x+1/2,-y,z+1/2'
'y+1/4,x+3/4,-z+1/4'
'-y+1/4,-x+3/4,z+1/4'
'x+1/2,y+1/2,z+1/2'
'-x+1/2,-y+1/2,-z+1/2'
'-y+3/4,x+1/4,z+3/4'
'y+3/4,-x+1/4,-z+3/4'
'-x,-y+1/2,z'
'x,y+1/2,-z'
'y+3/4,-x+3/4,z+1/4'
'-y+3/4,x+3/4,-z+1/4'
'x+1/2,-y+1/2,-z+1/2'
'-x+1/2,y+1/2,z+1/2'
'-y+3/4,-x+3/4,-z+1/4'
'y+3/4,x+3/4,z+1/4'
'-x,y+1/2,-z'
'x,-y+1/2,z'
'y+3/4,x+1/4,-z+3/4'
'-y+3/4,-x+1/4,z+3/4'
loop_
_atom_site_label
_atom_site_type_symbol
_atom_site_fract_x
_atom_site_fract_y
_atom_site_fract_z
_atom_site_occupancy
K1 K 0.0000 0.2500 0.3750 1
Al1 Al 0.0000 0.0000 0.0000 1
Ru1 Ru 0.0000 0.2500 0.8750 1

***

Run Q
# KAl2Ru PBE relaxed
# calculated density: 3.93 Mg/m³
# Fermi-level density of states: 3.106 states/eV per cell
# total moment: 0.000 μB/cell
data_KAl2Ru
_chemical_formula_sum 'K1 Al2 Ru1'
_space_group_name_H-M_alt 'P 1 2/m 1'
_space_group_IT_number 10
_cell_length_a 3.0969
_cell_length_b 3.1025
_cell_length_c 8.5396
_cell_angle_alpha 90.00
_cell_angle_beta 90.08
_cell_angle_gamma 90.00
loop_
_space_group_symop_operation_xyz
'x,y,z'
'-x,-y,-z'
'-x,y,-z'
'x,-y,z'
loop_
_atom_site_label
_atom_site_type_symbol
_atom_site_fract_x
_atom_site_fract_y
_atom_site_fract_z
_atom_site_occupancy
K1 K 0.0000 0.0000 0.0000 1
Al1 Al 0.4996 0.5000 0.3386 1
Ru1 Ru 0.0000 0.0000 0.5000 1

***

Most stable: run Q (next structure +0.403 eV/atom)

***

Run P
# KAl2Ru PBE relaxed
# calculated density: 3.19 Mg/m³
# Fermi-level density of states: 5.656 states/eV per cell
# total moment: 0.000 μB/cell
data_KAl2Ru
_chemical_formula_sum 'K2 Al4 Ru2'
_space_group_name_H-M_alt 'C 1 m 1'
_space_group_IT_number 8
_cell_length_a 8.7115
_cell_length_b 3.1169
_cell_length_c 7.7417
_cell_angle_alpha 90.00
_cell_angle_beta 105.72
_cell_angle_gamma 90.00
loop_
_space_group_symop_operation_xyz
'x,y,z'
'x,-y,z'
'x+1/2,y+1/2,z'
'x+1/2,-y+1/2,z'
loop_
_atom_site_label
_atom_site_type_symbol
_atom_site_fract_x
_atom_site_fract_y
_atom_site_fract_z
_atom_site_occupancy
K1 K 0.0000 0.0000 0.0000 1
Al1 Al 0.0928 0.5000 0.6035 1
Al2 Al 0.3104 0.5000 0.3645 1
Ru1 Ru 0.3143 0.0000 0.6082 1

***

Run Q
# KAl2Ru PBE relaxed
# calculated density: 4.15 Mg/m³
# Fermi-level density of states: 2.584 states/eV per cell
# total moment: 0.627 μB/cell
data_KAl2Ru
_chemical_formula_sum 'K1 Al2 Ru1'
_space_group_name_H-M_alt 'P m m m'
_space_group_IT_number 47
_cell_length_a 2.8561
_cell_length_b 5.0247
_cell_length_c 5.4112
_cell_angle_alpha 90.00
_cell_angle_beta 90.00
_cell_angle_gamma 90.00
loop_
_space_group_symop_operation_xyz
'x,y,z'
'-x,-y,-z'
'-x,-y,z'
'x,y,-z'
'x,-y,-z'
'-x,y,z'
'-x,y,-z'
'x,-y,z'
loop_
_atom_site_label
_atom_site_type_symbol
_atom_site_fract_x
_atom_site_fract_y
_atom_site_fract_z
_atom_site_occupancy
K1 K 0.0000 0.0000 0.0000 1
Al1 Al 0.0000 0.5000 0.5000 1
Al2 Al 0.5000 0.5000 0.0000 1
Ru1 Ru 0.5000 0.0000 0.5000 1

***

Run R
# KAl2Ru PBE relaxed
# calculated density: 3.19 Mg/m³
# Fermi-level density of states: 4.104 states/eV per cell
# total moment: 0.000 μB/cell
data_KAl2Ru
_chemical_formula_sum 'K2 Al4 Ru2'
_space_group_name_H-M_alt 'C 1 2/m 1'
_space_group_IT_number 12
_cell_length_a 7.4650
_cell_length_b 4.3095
_cell_length_c 6.7531
_cell_angle_alpha 90.00
_cell_angle_beta 111.54
_cell_angle_gamma 90.00
loop_
_space_group_symop_operation_xyz
'x,y,z'
'-x,-y,-z'
'-x,y,-z'
'x,-y,z'
'x+1/2,y+1/2,z'
'-x+1/2,-y+1/2,-z'
'-x+1/2,y+1/2,-z'
'x+1/2,-y+1/2,z'
loop_
_atom_site_label
_atom_site_type_symbol
_atom_site_fract_x
_atom_site_fract_y
_atom_site_fract_z
_atom_site_occupancy
K1 K 0.0000 0.0000 0.0000 1
Al1 Al 0.1907 0.0000 0.5723 1
Ru1 Ru 0.0000 0.5000 0.5000 1

***

Run S
# KAl2Ru PBE relaxed
# calculated density: 4.33 Mg/m³
# Fermi-level density of states: 8.052 states/eV per cell
# total moment: 0.000 μB/cell
data_KAl2Ru
_chemical_formula_sum 'K2 Al4 Ru2'
_space_group_name_H-M_alt 'I -4 m 2'
_space_group_IT_number 119
_space_group_name_Hall 'I -4 -2'
_cell_length_a 4.7269
_cell_length_b 4.7269
_cell_length_c 6.6694
_cell_angle_alpha 90.00
_cell_angle_beta 90.00
_cell_angle_gamma 90.00
loop_
_atom_site_label
_atom_site_type_symbol
_atom_site_fract_x
_atom_site_fract_y
_atom_site_fract_z
_atom_site_occupancy
K1 K 0.0000 0.0000 0.0000 1
Al1 Al 0.0000 0.0000 0.5000 1
Al2 Al 0.0000 0.5000 0.7500 1
Ru1 Ru 0.0000 0.5000 0.2500 1

***

Most stable: run R (next structure +0.163 eV/atom)

***

Run P
# KAl2Ru PBE relaxed
# calculated density: 4.40 Mg/m³
# Fermi-level density of states: 3.564 states/eV per cell
# total moment: 0.000 μB/cell
data_KAl2Ru
_chemical_formula_sum 'K1 Al2 Ru1'
_space_group_name_H-M_alt 'P 4/m m m'
_space_group_IT_number 123
_space_group_name_Hall '-P 4 2'
_cell_length_a 4.9129
_cell_length_b 4.9129
_cell_length_c 3.0361
_cell_angle_alpha 90.00
_cell_angle_beta 90.00
_cell_angle_gamma 90.00
loop_
_atom_site_label
_atom_site_type_symbol
_atom_site_fract_x
_atom_site_fract_y
_atom_site_fract_z
_atom_site_occupancy
K1 K 0.0000 0.0000 0.0000 1
Al1 Al 0.0000 0.5000 0.5000 1
Ru1 Ru 0.5000 0.5000 0.0000 1

***

Run Q
# KAl2Ru PBE relaxed
# calculated density: 3.37 Mg/m³
# Fermi-level density of states: 3.157 states/eV per cell
# total moment: 0.000 μB/cell
data_KAl2Ru
_chemical_formula_sum 'K2 Al4 Ru2'
_space_group_name_H-M_alt 'I m m 2'
_space_group_IT_number 44
_cell_length_a 3.0065
_cell_length_b 4.0574
_cell_length_c 15.6725
_cell_angle_alpha 90.00
_cell_angle_beta 90.00
_cell_angle_gamma 90.00
loop_
_space_group_symop_operation_xyz
'x,y,z'
'-x,-y,z'
'-x,y,z'
'x,-y,z'
'x+1/2,y+1/2,z+1/2'
'-x+1/2,-y+1/2,z+1/2'
'-x+1/2,y+1/2,z+1/2'
'x+1/2,-y+1/2,z+1/2'
loop_
_atom_site_label
_atom_site_type_symbol
_atom_site_fract_x
_atom_site_fract_y
_atom_site_fract_z
_atom_site_occupancy
K1 K 0.0000 0.0000 0.0000 1
Al1 Al 0.0000 0.0000 0.3287 1
Al2 Al 0.0000 0.5000 0.1929 1
Ru1 Ru 0.0000 0.5000 0.7030 1

***

Run R
# KAl2Ru PBE relaxed
# calculated density: 3.58 Mg/m³
# Fermi-level density of states: 2.163 states/eV per cell
# total moment: 0.000 μB/cell
data_KAl2Ru
_chemical_formula_sum 'K1 Al2 Ru1'
_space_group_name_H-M_alt 'P 4 m m'
_space_group_IT_number 99
_cell_length_a 3.3590
_cell_length_b 3.3590
_cell_length_c 7.9872
_cell_angle_alpha 90.00
_cell_angle_beta 90.00
_cell_angle_gamma 90.00
loop_
_space_group_symop_operation_xyz
'x,y,z'
'-y,x,z'
'-x,-y,z'
'y,-x,z'
'-x,y,z'
'y,x,z'
'x,-y,z'
'-y,-x,z'
loop_
_atom_site_label
_atom_site_type_symbol
_atom_site_fract_x
_atom_site_fract_y
_atom_site_fract_z
_atom_site_occupancy
K1 K 0.0000 0.0000 0.0000 1
Al1 Al 0.0000 0.0000 0.4250 1
Al2 Al 0.5000 0.5000 0.6489 1
Ru1 Ru 0.5000 0.5000 0.3424 1

***

Run S
# KAl2Ru PBE relaxed
# calculated density: 3.95 Mg/m³
# Fermi-level density of states: 8.143 states/eV per cell
# total moment: 0.139 μB/cell
data_KAl2Ru
_chemical_formula_sum 'K3 Al6 Ru3'
_space_group_name_H-M_alt 'R -3 m'
_space_group_IT_number 166
_space_group_name_Hall '-R 3 2"'
_cell_length_a 3.1125
_cell_length_b 3.1125
_cell_length_c 29.2152
_cell_angle_alpha 90.00
_cell_angle_beta 90.00
_cell_angle_gamma 120.00
loop_
_atom_site_label
_atom_site_type_symbol
_atom_site_fract_x
_atom_site_fract_y
_atom_site_fract_z
_atom_site_occupancy
K1 K 0.0000 0.0000 0.0000 1
Al1 Al 0.0000 0.0000 0.2281 1
Ru1 Ru 0.0000 0.0000 0.5000 1

***

Most stable: run Q (next structure +0.105 eV/atom)

***

Run P
# KAl2Ru PBE relaxed
# calculated density: 4.44 Mg/m³
# Fermi-level density of states: 5.768 states/eV per cell
# total moment: 0.000 μB/cell
data_KAl2Ru
_chemical_formula_sum 'K2 Al4 Ru2'
_space_group_name_H-M_alt 'C 1 2/m 1'
_space_group_IT_number 12
_cell_length_a 6.3678
_cell_length_b 7.5415
_cell_length_c 3.0242
_cell_angle_alpha 90.00
_cell_angle_beta 90.12
_cell_angle_gamma 90.00
loop_
_space_group_symop_operation_xyz
'x,y,z'
'-x,-y,-z'
'-x,y,-z'
'x,-y,z'
'x+1/2,y+1/2,z'
'-x+1/2,-y+1/2,-z'
'-x+1/2,y+1/2,-z'
'x+1/2,-y+1/2,z'
loop_
_atom_site_label
_atom_site_type_symbol
_atom_site_fract_x
_atom_site_fract_y
_atom_site_fract_z
_atom_site_occupancy
K1 K 0.0000 0.0000 0.0000 1
Al1 Al 0.2500 0.2500 0.5000 1
Ru1 Ru 0.0000 0.5000 0.0000 1

***

Run Q
# KAl2Ru PBE relaxed
# calculated density: 4.37 Mg/m³
# Fermi-level density of states: 14.661 states/eV per cell
# total moment: 0.000 μB/cell
data_KAl2Ru
_chemical_formula_sum 'K4 Al8 Ru4'
_space_group_name_H-M_alt 'F m -3 m'
_space_group_IT_number 225
_space_group_name_Hall '-F 4 2 3'
_cell_length_a 6.6557
_cell_length_b 6.6557
_cell_length_c 6.6557
_cell_angle_alpha 90.00
_cell_angle_beta 90.00
_cell_angle_gamma 90.00
loop_
_atom_site_label
_atom_site_type_symbol
_atom_site_fract_x
_atom_site_fract_y
_atom_site_fract_z
_atom_site_occupancy
K1 K 0.0000 0.0000 0.0000 1
Al1 Al 0.2500 0.2500 0.2500 1
Ru1 Ru 0.0000 0.0000 0.5000 1

***

Most stable: run Q (next structure +0.117 eV/atom)